# Ce2Y5Ho4, optimized geometry, DFT PBE
# Energy: -5.577 eV/atom
# ΔE_f: 104 meV per atom
# Density: 6.56 g cm⁻³
# V: 31.9 Å³/atom
data_Ce2Y5Ho4
_cell_length_a 3.476
_cell_length_b 11.571
_cell_length_c 8.910
_cell_angle_alpha 94.11
_cell_angle_beta 101.25
_cell_angle_gamma 90.00
_space_group_name_H-M_alt 'P 1'
_space_group_IT_number 1
loop_
_space_group_symop_operation_xyz
'x,y,z'
loop_
_atom_site_label
_atom_site_fract_x
_atom_site_fract_y
_atom_site_fract_z
_atom_site_occupancy
Ce1 0.720 0.358 0.440 1
Ce2 0.280 0.642 0.560 1
Y1 0.903 0.465 0.805 1
Y2 0.097 0.535 0.195 1
Y3 0.823 0.929 0.645 1
Y4 0.500 0.000 0.000 1
Y5 0.177 0.071 0.355 1
Ho1 0.360 0.203 0.719 1
Ho2 0.966 0.743 0.933 1
Ho3 0.640 0.797 0.281 1
Ho4 0.034 0.257 0.067 1


# Ce2Y2Ho7, optimized geometry, DFT PBE
# Distance to the lowest polymorph of the same formula: 0.000 eV/atom
# Energy: -4.993 eV/atom
# ΔE_f: 174 meV per atom
# Density: 7.56 g cm⁻³
# V: 32.2 Å³/atom
data_Ce2Y2Ho7
_cell_length_a 3.560
_cell_length_b 11.436
_cell_length_c 11.436
_cell_angle_alpha 54.25
_cell_angle_beta 71.86
_cell_angle_gamma 71.86
_space_group_name_H-M_alt 'P 1'
_space_group_IT_number 1
loop_
_space_group_symop_operation_xyz
'x,y,z'
loop_
_atom_site_label
_atom_site_fract_x
_atom_site_fract_y
_atom_site_fract_z
_atom_site_occupancy
Ce1 0.035 0.732 0.732 1
Ce2 0.965 0.268 0.268 1
Y1 0.500 0.273 0.727 1
Y2 0.500 0.727 0.273 1
Ho1 0.321 0.633 0.046 1
Ho2 0.679 0.954 0.367 1
Ho3 0.679 0.367 0.954 1
Ho4 0.321 0.046 0.633 1
Ho5 0.173 0.414 0.414 1
Ho6 0.000 0.000 0.000 1
Ho7 0.827 0.586 0.586 1


# CeY2Ho, optimized geometry, DFT PBE
# Distance to the lowest polymorph of the same formula: 0.026 eV/atom
# Energy: -5.789 eV/atom
# ΔE_f: 71 meV per atom
# Density: 6.37 g cm⁻³
# V: 31.5 Å³/atom
data_CeY2Ho
_cell_length_a 3.536
_cell_length_b 3.536
_cell_length_c 10.074
_cell_angle_alpha 90.00
_cell_angle_beta 90.00
_cell_angle_gamma 90.00
_space_group_name_H-M_alt 'P 1'
_space_group_IT_number 1
loop_
_space_group_symop_operation_xyz
'x,y,z'
loop_
_atom_site_label
_atom_site_fract_x
_atom_site_fract_y
_atom_site_fract_z
_atom_site_occupancy
Y1 0.000 0.000 0.747 1
Y2 0.000 0.000 0.253 1
Ho1 0.500 0.500 0.000 1
Ce1 0.500 0.500 0.500 1


# CeYHo6, optimized geometry, DFT PBE
# Distance to the lowest polymorph of the same formula: 0.000 eV/atom
# Energy: -4.937 eV/atom
# ΔE_f: 46 meV per atom
# Density: 8.13 g cm⁻³
# V: 31.1 Å³/atom
data_CeYHo6
_cell_length_a 4.996
_cell_length_b 4.996
_cell_length_c 9.971
_cell_angle_alpha 90.00
_cell_angle_beta 90.00
_cell_angle_gamma 90.00
_space_group_name_H-M_alt 'P 1'
_space_group_IT_number 1
loop_
_space_group_symop_operation_xyz
'x,y,z'
loop_
_atom_site_label
_atom_site_fract_x
_atom_site_fract_y
_atom_site_fract_z
_atom_site_occupancy
Ce1 0.000 0.000 0.500 1
Y1 0.000 0.000 0.000 1
Ho1 0.500 0.500 0.000 1
Ho2 0.500 0.500 0.500 1
Ho3 0.500 0.000 0.252 1
Ho4 0.500 0.000 0.748 1
Ho5 0.000 0.500 0.252 1
Ho6 0.000 0.500 0.748 1


# CeYHo2, optimized geometry, DFT PBE
# Distance to the lowest polymorph of the same formula: 0.028 eV/atom
# Energy: -5.332 eV/atom
# ΔE_f: 56 meV per atom
# Density: 7.51 g cm⁻³
# V: 30.9 Å³/atom
data_CeYHo2
_cell_length_a 3.520
_cell_length_b 3.520
_cell_length_c 11.694
_cell_angle_alpha 81.34
_cell_angle_beta 81.34
_cell_angle_gamma 60.00
_space_group_name_H-M_alt 'P 1'
_space_group_IT_number 1
loop_
_space_group_symop_operation_xyz
'x,y,z'
loop_
_atom_site_label
_atom_site_fract_x
_atom_site_fract_y
_atom_site_fract_z
_atom_site_occupancy
Y1 0.500 0.500 0.500 1
Ho1 0.749 0.749 0.753 1
Ho2 0.251 0.251 0.247 1
Ce1 0.000 0.000 0.000 1


# Ce2Y7Ho2, optimized geometry, DFT PBE
# Energy: -5.816 eV/atom
# ΔE_f: 208 meV per atom
# Density: 5.70 g cm⁻³
# V: 32.6 Å³/atom
data_Ce2Y7Ho2
_cell_length_a 5.998
_cell_length_b 8.051
_cell_length_c 8.051
_cell_angle_alpha 92.81
_cell_angle_beta 74.71
_cell_angle_gamma 74.71
_space_group_name_H-M_alt 'P 1'
_space_group_IT_number 1
loop_
_space_group_symop_operation_xyz
'x,y,z'
loop_
_atom_site_label
_atom_site_fract_x
_atom_site_fract_y
_atom_site_fract_z
_atom_site_occupancy
Ce1 0.500 0.788 0.212 1
Ce2 0.500 0.212 0.788 1
Y1 0.176 0.066 0.589 1
Y2 0.824 0.411 0.934 1
Y3 0.824 0.934 0.411 1
Y4 0.176 0.589 0.066 1
Y5 0.000 0.000 0.000 1
Y6 0.805 0.408 0.408 1
Y7 0.195 0.592 0.592 1
Ho1 0.587 0.772 0.772 1
Ho2 0.413 0.228 0.228 1


# CeY6Ho2, optimized geometry, DFT PBE
# Distance to the lowest polymorph of the same formula: 0.000 eV/atom
# Energy: -5.858 eV/atom
# ΔE_f: 128 meV per atom
# Density: 5.79 g cm⁻³
# V: 32.0 Å³/atom
data_CeY6Ho2
_cell_length_a 6.044
_cell_length_b 10.089
_cell_length_c 10.089
_cell_angle_alpha 70.33
_cell_angle_beta 84.37
_cell_angle_gamma 84.37
_space_group_name_H-M_alt 'P 1'
_space_group_IT_number 1
loop_
_space_group_symop_operation_xyz
'x,y,z'
loop_
_atom_site_label
_atom_site_fract_x
_atom_site_fract_y
_atom_site_fract_z
_atom_site_occupancy
Ce1 0.250 0.151 0.849 1
Ce2 0.750 0.849 0.151 1
Y1 0.458 0.676 0.449 1
Y2 0.042 0.551 0.324 1
Y3 0.542 0.324 0.551 1
Y4 0.958 0.449 0.676 1
Y5 0.620 0.113 0.339 1
Y6 0.880 0.661 0.887 1
Y7 0.380 0.887 0.661 1
Y8 0.120 0.339 0.113 1
Y9 0.298 0.783 0.010 1
Y10 0.202 0.990 0.217 1
Y11 0.702 0.217 0.990 1
Y12 0.798 0.010 0.783 1
Ho1 0.418 0.524 0.815 1
Ho2 0.082 0.185 0.476 1
Ho3 0.582 0.476 0.185 1
Ho4 0.918 0.815 0.524 1


# CeY3Ho12, optimized geometry, DFT PBE
# Energy: -4.983 eV/atom
# ΔE_f: 33 meV per atom
# Density: 7.93 g cm⁻³
# V: 31.2 Å³/atom
data_CeY3Ho12
_cell_length_a 4.999
_cell_length_b 4.999
_cell_length_c 19.987
_cell_angle_alpha 90.00
_cell_angle_beta 90.00
_cell_angle_gamma 90.00
_space_group_name_H-M_alt 'P 1'
_space_group_IT_number 1
loop_
_space_group_symop_operation_xyz
'x,y,z'
loop_
_atom_site_label
_atom_site_fract_x
_atom_site_fract_y
_atom_site_fract_z
_atom_site_occupancy
Ce1 0.000 0.000 0.000 1
Y1 0.000 0.000 0.249 1
Y2 0.000 0.000 0.500 1
Y3 0.000 0.000 0.751 1
Ho1 0.500 0.500 0.000 1
Ho2 0.500 0.500 0.251 1
Ho3 0.500 0.500 0.500 1
Ho4 0.500 0.500 0.749 1
Ho5 0.500 0.000 0.124 1
Ho6 0.500 0.000 0.375 1
Ho7 0.500 0.000 0.625 1
Ho8 0.500 0.000 0.876 1
Ho9 0.000 0.500 0.124 1
Ho10 0.000 0.500 0.375 1
Ho11 0.000 0.500 0.625 1
Ho12 0.000 0.500 0.876 1


# CeYHo2, optimized geometry, DFT PBE
# Distance to the lowest polymorph of the same formula: 0.034 eV/atom
# Energy: -5.326 eV/atom
# ΔE_f: 62 meV per atom
# Density: 7.49 g cm⁻³
# V: 31.0 Å³/atom
data_CeYHo2
_cell_length_a 3.527
_cell_length_b 3.527
_cell_length_c 9.960
_cell_angle_alpha 90.00
_cell_angle_beta 90.00
_cell_angle_gamma 90.00
_space_group_name_H-M_alt 'P 1'
_space_group_IT_number 1
loop_
_space_group_symop_operation_xyz
'x,y,z'
loop_
_atom_site_label
_atom_site_fract_x
_atom_site_fract_y
_atom_site_fract_z
_atom_site_occupancy
Y1 0.500 0.500 0.500 1
Ho1 0.000 0.000 0.756 1
Ho2 0.000 0.000 0.244 1
Ce1 0.500 0.500 0.000 1


# CeY2Ho6, optimized geometry, DFT PBE
# Energy: -4.846 eV/atom
# ΔE_f: 302 meV per atom
# Density: 7.59 g cm⁻³
# V: 31.8 Å³/atom
data_CeY2Ho6
_cell_length_a 7.250
_cell_length_b 7.250
_cell_length_c 7.549
_cell_angle_alpha 61.30
_cell_angle_beta 61.30
_cell_angle_gamma 60.00
_space_group_name_H-M_alt 'P 1'
_space_group_IT_number 1
loop_
_space_group_symop_operation_xyz
'x,y,z'
loop_
_atom_site_label
_atom_site_fract_x
_atom_site_fract_y
_atom_site_fract_z
_atom_site_occupancy
Ce1 0.318 0.318 0.045 1
Y1 0.756 0.756 0.731 1
Y2 0.578 0.578 0.265 1
Ho1 0.779 0.259 0.703 1
Ho2 0.259 0.779 0.703 1
Ho3 0.259 0.259 0.703 1
Ho4 0.054 0.608 0.285 1
Ho5 0.054 0.054 0.285 1
Ho6 0.608 0.054 0.285 1